# Y3Mg3Ag2Au | OQMD | PBE-GGA | optimized geometry
data_Y3Mg3Ag2Au
_chemical_formula_sum 'Y3 Mg3 Ag2 Au1'
_symmetry_space_group_name_H-M 'P 1'
_symmetry_Int_Tables_number 1
_symmetry_space_group_name_Hall 'P 1'
_cell_length_a 7.6009
_cell_length_b 7.6009
_cell_length_c 4.1998
_cell_angle_alpha 90.00
_cell_angle_beta 90.00
_cell_angle_gamma 120.00
loop_
_atom_site_label
_atom_site_fract_x
_atom_site_fract_y
_atom_site_fract_z
Y1 0.0000 0.5921 0.0000
Y2 0.4079 0.4079 0.0000
Y3 0.5921 0.0000 0.0000
Mg1 0.0000 0.2437 0.5000
Mg2 0.2437 0.0000 0.5000
Mg3 0.7563 0.7563 0.5000
Ag1 0.3333 0.6667 0.5000
Ag2 0.6667 0.3333 0.5000
Au1 0.0000 0.0000 0.0000
# SG: P-62m
# Total magnetization, μB/atom: 0.003
# Energy, Ha/atom: -0.1501

# CsBa3Pt | OQMD | PBE-GGA | optimized geometry
data_CsBa3Pt
_chemical_formula_sum 'Cs1 Ba3 Pt1'
_symmetry_space_group_name_H-M 'P 1'
_symmetry_Int_Tables_number 1
_symmetry_space_group_name_Hall 'P 1'
_cell_length_a 6.4732
_cell_length_b 6.4732
_cell_length_c 6.4732
_cell_angle_alpha 90.00
_cell_angle_beta 90.00
_cell_angle_gamma 90.00
loop_
_atom_site_label
_atom_site_fract_x
_atom_site_fract_y
_atom_site_fract_z
Cs1 0.0000 0.0000 0.0000
Ba1 0.0000 0.5000 0.5000
Ba2 0.5000 0.0000 0.5000
Ba3 0.5000 0.5000 0.0000
Pt1 0.5000 0.5000 0.5000
# SG: Pm-3m
# Total magnetization, μB/atom: 0.001
# Energy, Ha/atom: -0.1046

# YMgCuSe3 | OQMD | PBE-GGA | optimized geometry
data_YMgCuSe3
_chemical_formula_sum 'Y2 Mg2 Cu2 Se6'
_symmetry_space_group_name_H-M 'P 1'
_symmetry_Int_Tables_number 1
_symmetry_space_group_name_Hall 'P 1'
_cell_length_a 6.6848
_cell_length_b 6.6848
_cell_length_c 10.6765
_cell_angle_alpha 90.00
_cell_angle_beta 90.00
_cell_angle_gamma 146.51
loop_
_atom_site_label
_atom_site_fract_x
_atom_site_fract_y
_atom_site_fract_z
Y1 0.0000 0.0000 0.0000
Y2 0.0000 0.0000 0.5000
Mg1 0.2310 0.7690 0.7500
Mg2 0.7690 0.2310 0.2500
Cu1 0.4778 0.5222 0.2500
Cu2 0.5222 0.4778 0.7500
Se1 0.1020 0.8980 0.2500
Se2 0.3509 0.6491 0.0801
Se3 0.3509 0.6491 0.4199
Se4 0.6491 0.3509 0.5801
Se5 0.6491 0.3509 0.9199
Se6 0.8980 0.1020 0.7500
# SG: Cmcm
# Total magnetization, μB/atom: 0.001
# Energy, Ha/atom: -0.1782
# Excess energy over the best structure of this formula in the dataset, eV per atom: 0.000

# BaPtNO | OQMD | PBE-GGA | optimized geometry
data_BaPtNO
_chemical_formula_sum 'Ba2 Pt2 N2 O2'
_symmetry_space_group_name_H-M 'P 1'
_symmetry_Int_Tables_number 1
_symmetry_space_group_name_Hall 'P 1'
_cell_length_a 4.5465
_cell_length_b 3.9687
_cell_length_c 7.5756
_cell_angle_alpha 90.00
_cell_angle_beta 90.00
_cell_angle_gamma 90.00
loop_
_atom_site_label
_atom_site_fract_x
_atom_site_fract_y
_atom_site_fract_z
Ba1 0.0000 0.9998 0.0000
Ba2 0.0000 0.0002 0.5000
Pt1 0.5000 0.4995 0.2494
Pt2 0.5000 0.5005 0.7494
N1 0.5000 0.4955 0.9995
N2 0.5000 0.5045 0.4995
O1 0.0000 0.4988 0.7510
O2 0.0000 0.5012 0.2510
# SG: Pmc2_1
# Total magnetization, μB/atom: 0.001
# Energy, Ha/atom: -0.2254
# Excess energy over the best structure of this formula in the dataset, eV per atom: 0.000

# Be2CuMo | OQMD | PBE-GGA | optimized geometry
data_Be2CuMo
_chemical_formula_sum 'Be2 Cu1 Mo1'
_symmetry_space_group_name_H-M 'P 1'
_symmetry_Int_Tables_number 1
_symmetry_space_group_name_Hall 'P 1'
_cell_length_a 4.0187
_cell_length_b 4.0187
_cell_length_c 4.0187
_cell_angle_alpha 60.00
_cell_angle_beta 60.00
_cell_angle_gamma 60.00
loop_
_atom_site_label
_atom_site_fract_x
_atom_site_fract_y
_atom_site_fract_z
Be1 0.0000 0.0000 0.0000
Be2 0.2500 0.2500 0.2500
Cu1 0.5000 0.5000 0.5000
Mo1 0.7500 0.7500 0.7500
# SG: F-43m
# Total magnetization, μB/atom: 0.254
# Energy, Ha/atom: -0.1908

# MgZn2GePt4 | OQMD | PBE-GGA | optimized geometry
data_MgZn2GePt4
_chemical_formula_sum 'Mg1 Zn2 Ge1 Pt4'
_symmetry_space_group_name_H-M 'P 1'
_symmetry_Int_Tables_number 1
_symmetry_space_group_name_Hall 'P 1'
_cell_length_a 4.0792
_cell_length_b 4.0792
_cell_length_c 7.2724
_cell_angle_alpha 90.00
_cell_angle_beta 90.00
_cell_angle_gamma 90.00
loop_
_atom_site_label
_atom_site_fract_x
_atom_site_fract_y
_atom_site_fract_z
Mg1 0.0000 0.0000 0.0000
Zn1 0.0000 0.0000 0.5000
Zn2 0.5000 0.5000 0.0000
Ge1 0.5000 0.5000 0.5000
Pt1 0.0000 0.5000 0.2590
Pt2 0.0000 0.5000 0.7410
Pt3 0.5000 0.0000 0.2590
Pt4 0.5000 0.0000 0.7410
# SG: P4/mmm
# Total magnetization, μB/atom: 0.000
# Energy, Ha/atom: -0.1719

# Lu2Sc3Br | OQMD | PBE-GGA | optimized geometry
data_Lu2Sc3Br
_chemical_formula_sum 'Lu2 Sc3 Br1'
_symmetry_space_group_name_H-M 'P 1'
_symmetry_Int_Tables_number 1
_symmetry_space_group_name_Hall 'P 1'
_cell_length_a 3.4423
_cell_length_b 3.4423
_cell_length_c 14.1634
_cell_angle_alpha 90.00
_cell_angle_beta 90.00
_cell_angle_gamma 120.00
loop_
_atom_site_label
_atom_site_fract_x
_atom_site_fract_y
_atom_site_fract_z
Lu1 0.3333 0.6667 0.3178
Lu2 0.6667 0.3333 0.6822
Sc1 0.0000 0.0000 0.5000
Sc2 0.3333 0.6667 0.8559
Sc3 0.6667 0.3333 0.1441
Br1 0.0000 0.0000 0.0000
# SG: P-3m1
# Total magnetization, μB/atom: 0.005
# Energy, Ha/atom: -0.1910

# TcAsPt | OQMD | PBE-GGA | optimized geometry
data_TcAsPt
_chemical_formula_sum 'Tc1 As1 Pt1'
_symmetry_space_group_name_H-M 'P 1'
_symmetry_Int_Tables_number 1
_symmetry_space_group_name_Hall 'P 1'
_cell_length_a 4.1286
_cell_length_b 4.1286
_cell_length_c 4.1286
_cell_angle_alpha 60.00
_cell_angle_beta 60.00
_cell_angle_gamma 60.00
loop_
_atom_site_label
_atom_site_fract_x
_atom_site_fract_y
_atom_site_fract_z
Tc1 0.0000 0.0000 0.0000
As1 0.7500 0.7500 0.7500
Pt1 0.5000 0.5000 0.5000
# SG: F-43m
# Total magnetization, μB/atom: 0.072
# Energy, Ha/atom: -0.2593
# Excess energy over the best structure of this formula in the dataset, eV per atom: 0.000

# Ba2PrOsSe6 | OQMD | PBE-GGA | optimized geometry
data_Ba2PrOsSe6
_chemical_formula_sum 'Ba2 Pr1 Os1 Se6'
_symmetry_space_group_name_H-M 'P 1'
_symmetry_Int_Tables_number 1
_symmetry_space_group_name_Hall 'P 1'
_cell_length_a 7.3019
_cell_length_b 7.3415
_cell_length_c 7.4562
_cell_angle_alpha 62.16
_cell_angle_beta 62.83
_cell_angle_gamma 61.23
loop_
_atom_site_label
_atom_site_fract_x
_atom_site_fract_y
_atom_site_fract_z
Ba1 0.2458 0.2513 0.2616
Ba2 0.7542 0.7487 0.7384
Pr1 0.0000 0.0000 0.0000
Os1 0.5000 0.5000 0.5000
Se1 0.2182 0.3149 0.6948
Se2 0.2357 0.7941 0.6711
Se3 0.3521 0.7174 0.1871
Se4 0.6479 0.2826 0.8129
Se5 0.7643 0.2059 0.3289
Se6 0.7818 0.6851 0.3052
# SG: P-1
# Total magnetization, μB/atom: 0.292
# Energy, Ha/atom: -0.1909

# HoB4Au4 | OQMD | PBE-GGA | optimized geometry
data_HoB4Au4
_chemical_formula_sum 'Ho2 B8 Au8'
_symmetry_space_group_name_H-M 'P 1'
_symmetry_Int_Tables_number 1
_symmetry_space_group_name_Hall 'P 1'
_cell_length_a 5.4002
_cell_length_b 5.4002
_cell_length_c 8.5923
_cell_angle_alpha 90.00
_cell_angle_beta 90.00
_cell_angle_gamma 90.00
loop_
_atom_site_label
_atom_site_fract_x
_atom_site_fract_y
_atom_site_fract_z
Ho1 0.2500 0.7500 0.2500
Ho2 0.7500 0.2500 0.7500
B1 0.0993 0.2500 0.1428
B2 0.2500 0.0993 0.6428
B3 0.2500 0.4007 0.6428
B4 0.4007 0.2500 0.1428
B5 0.5993 0.7500 0.8572
B6 0.7500 0.5993 0.3572
B7 0.7500 0.9007 0.3572
B8 0.9007 0.7500 0.8572
Au1 0.0002 0.2500 0.4099
Au2 0.9998 0.7500 0.5901
Au3 0.2500 0.0002 0.9099
Au4 0.2500 0.4998 0.9099
Au5 0.4998 0.2500 0.4099
Au6 0.5002 0.7500 0.5901
Au7 0.7500 0.9998 0.0901
Au8 0.7500 0.5002 0.0901
# SG: P4_2/nmc
# Total magnetization, μB/atom: 0.000
# Energy, Ha/atom: -0.1723

# TbYBrNCl2 | OQMD | PBE-GGA | optimized geometry
data_TbYBrNCl2
_chemical_formula_sum 'Tb2 Y2 Br2 N2 Cl4'
_symmetry_space_group_name_H-M 'P 1'
_symmetry_Int_Tables_number 1
_symmetry_space_group_name_Hall 'P 1'
_cell_length_a 9.1219
_cell_length_b 9.1219
_cell_length_c 11.2669
_cell_angle_alpha 124.26
_cell_angle_beta 124.26
_cell_angle_gamma 24.35
loop_
_atom_site_label
_atom_site_fract_x
_atom_site_fract_y
_atom_site_fract_z
Tb1 0.0785 0.0785 0.4618
Tb2 0.9215 0.9215 0.5382
Y1 0.3629 0.3629 0.2068
Y2 0.6371 0.6371 0.7932
Br1 0.4596 0.4596 0.7599
Br2 0.5404 0.5404 0.2401
N1 0.0750 0.0750 0.6582
N2 0.9250 0.9250 0.3418
Cl1 0.1741 0.1741 0.0118
Cl2 0.2909 0.2909 0.3801
Cl3 0.7091 0.7091 0.6199
Cl4 0.8259 0.8259 0.9882
# SG: C2/m
# Total magnetization, μB/atom: 0.000
# Energy, Ha/atom: -0.2262
# Excess energy over the best structure of this formula in the dataset, eV per atom: 0.008